1.
## LiTcTeAuSe2 (GGA-PBE)

Data for crystalline LiTcTeAuSe2 at its relaxed geometry.

Computed properties:
- total DFT energy (no corrections) (eV per atom) = -4.5151
- symmetry = Cmcm, No. 63
- magnetic moment (Bohr magnetons per cell) = 4.28

Lattice parameters (Å, degrees): 7.3771 7.3771 10.5625 90.00 90.00 152.08
Closest atoms and distances in Å follow each position.
Positions (direct):
Li (0.2197, 0.7803, 0.7500)  2 Au 2.67, 2 Te 2.91
Li (0.7803, 0.2197, 0.2500)  2 Au 2.67, 2 Te 2.91
Tc (0.5000, 0.5000, 0.0000)  4 Se 2.57, 2 Te 2.77
Tc (0.5000, 0.5000, 0.5000)  4 Se 2.57, 2 Te 2.77
Te (0.4409, 0.5591, 0.2500)  2 Tc 2.77, 2 Li 2.91
Te (0.5591, 0.4409, 0.7500)  2 Tc 2.77, 2 Li 2.91
Au (0.1410, 0.8590, 0.2500)  2 Se 2.47, 2 Li 2.67
Au (0.8590, 0.1410, 0.7500)  2 Se 2.47, 2 Li 2.67
Se (0.1293, 0.8707, 0.0171)  1 Au 2.47, 2 Tc 2.57
Se (0.1293, 0.8707, 0.4829)  1 Au 2.47, 2 Tc 2.57
Se (0.8707, 0.1293, 0.5171)  1 Au 2.47, 2 Tc 2.57
Se (0.8707, 0.1293, 0.9829)  1 Au 2.47, 2 Tc 2.57

2.
## LiTeWAuSe2 (GGA-PBE)

Data for crystalline LiTeWAuSe2 at its relaxed geometry.

Computed properties:
- total DFT energy (no corrections) (eV per atom) = -4.8386
- symmetry = Cmcm, No. 63
- magnetic moment (Bohr magnetons per cell) = 1.58

Lattice parameters (Å, degrees): 7.1234 7.1234 10.3723 90.00 90.00 151.24
Closest atoms and distances in Å follow each position.
Positions (direct):
Li (0.2223, 0.7777, 0.7500)  2 Au 2.78, 2 Te 3.02
Li (0.7777, 0.2223, 0.2500)  2 Au 2.78, 2 Te 3.02
Te (0.1002, 0.8998, 0.2500)  2 Au 2.90, 2 W 2.94, 2 Li 3.02
Te (0.8998, 0.1002, 0.7500)  2 Au 2.90, 2 W 2.94, 2 Li 3.02
W (0.0000, 0.0000, 0.0000)  4 Se 2.61
W (0.0000, 0.0000, 0.5000)  4 Se 2.61
Au (0.4333, 0.5667, 0.2500)  2 Se 2.50, 2 Li 2.78
Au (0.5667, 0.4333, 0.7500)  2 Se 2.50, 2 Li 2.78
Se (0.3629, 0.6371, 0.0284)  1 Au 2.50, 2 W 2.61
Se (0.3629, 0.6371, 0.4716)  1 Au 2.50, 2 W 2.61
Se (0.6371, 0.3629, 0.5284)  1 Au 2.50, 2 W 2.61
Se (0.6371, 0.3629, 0.9716)  1 Au 2.50, 2 W 2.61